Record 1
VASP calculation (PBE) on a geometry-optimized La3Ho2PaAs6 structure.

Values from the calculation:
Electronic total energy = -6.5902 eV per atom
E_form = -34.11 kcal/mol of atoms

abc: 7.2996 12.6439 7.3635
angles: 90.00 109.27 90.00
With the nearest neighbours (Å) after each atom.
Space group C2/m (No. 12)
One atom of each set of equivalent atoms:
1 La 0.0000 0.0000 0.0000 [2 per cell]  6 As 3.05-3.09
2 La 0.0000 0.3320 0.0000 [4 per cell]  6 As 3.05-3.08
3 Ho 0.0000 0.1663 0.5000 [4 per cell]  6 As 2.93-2.94
4 Pa 0.0000 0.5000 0.5000 [2 per cell]  6 As 2.89
5 As 0.2414 0.3357 0.7319 [8 per cell]  1 Pa 2.89, 2 Ho 2.93-2.94, 3 La 3.05-3.08
6 As 0.2492 0.0000 0.7320 [4 per cell]  1 Pa 2.89, 2 Ho 2.93, 3 La 3.06-3.09

Record 2
VASP calculation (PBE) on a geometry-optimized Mn2NiMo structure.

Values from the calculation:
Electronic total energy = -8.4834 eV per atom
E_form = 5.87 kcal/mol of atoms

abc: 2.6752 2.6752 25.5612
angles: 90.00 90.00 120.00
With the nearest neighbours (Å) after each atom.
Space group R-3m (No. 166, hexagonal axes)
One atom of each set of equivalent atoms:
1 Mn 0.0000 0.0000 0.2451 [6 per cell]  3 Ni 2.53, 6 Mn 2.68, 3 Mo 2.73
2 Ni 0.0000 0.0000 0.5000 [3 per cell]  6 Mn 2.53, 6 Ni 2.68
3 Mo 0.0000 0.0000 0.0000 [3 per cell]  6 Mo 2.68, 6 Mn 2.73